First-principles (PBE-GGA) data for a relaxed structure of YPt3C, as listed in the Open Quantum Materials Database.

Cell lengths 4.3232, 4.3232, 4.3232 Å; angles 90.00, 90.00, 90.00 degrees
With the nearest neighbours (Å) after each atom.
Space group Pm-3m (No. 221)
Inequivalent atoms, fractional coordinates:
Y1 0.0000 0.0000 0.0000  12 Pt 3.06
Pt1 0.0000 0.5000 0.5000  2 C 2.16
C1 0.5000 0.5000 0.5000  6 Pt 2.16

Computed properties:
Final energy   -7.03 eV/atom
Total moment   0.00 μB/cell

***

First-principles (PBE-GGA) data for a relaxed structure of KErFeSe3, as listed in the Open Quantum Materials Database.

Cell lengths 9.0321, 4.0430, 9.7236 Å; angles 90.00, 108.60, 90.00 degrees
With the nearest neighbours (Å) after each atom.
Space group P2_1/m (No. 11)
Inequivalent atoms, fractional coordinates:
K1 0.2117 0.2500 0.2415  7 Se 3.28-3.66
Er1 0.3312 0.7500 0.8546  6 Se 2.80-2.93
Fe1 0.0723 0.2500 0.5878  4 Se 2.43-2.52, 2 Fe 2.70
Se1 0.1050 0.2500 0.8453  1 Fe 2.43
Se2 0.2126 0.7500 0.5366  3 Fe 2.47-2.52
Se3 0.4559 0.7500 0.1583  3 Er 2.80-2.82

Computed properties:
Final energy   -5.29 eV/atom
Total moment   7.72 μB/cell

***

First-principles (PBE-GGA) data for a relaxed structure of GdAl3B4O12, as listed in the Open Quantum Materials Database.

Cell lengths 7.2024, 9.3206, 16.1210 Å; angles 90.00, 90.16, 90.00 degrees
With the nearest neighbours (Å) after each atom.
Space group C2 (No. 5)
Inequivalent atoms, fractional coordinates:
Gd1 0.0000 0.0000 0.0000  6 O 2.33-2.34
Gd2 0.1697 0.9284 0.6680  6 O 2.32-2.34
Al1 0.0000 0.5524 0.0000  6 O 1.85-1.93
Al2 0.0373 0.2127 0.8146  6 O 1.85-1.94
Al3 0.1295 0.7152 0.8524  6 O 1.85-1.93
Al4 0.1673 0.3742 0.6661  6 O 1.85-1.93
Al5 0.2036 0.7068 0.4813  6 O 1.85-1.93
B1 0.0000 0.4294 0.5000  3 O 1.38
B2 0.0000 0.9861 0.5000  3 O 1.37-1.38
B3 0.0351 0.6507 0.3144  3 O 1.37-1.38
B4 0.1302 0.1506 0.3523  3 O 1.37-1.38
B5 0.1662 0.9352 0.1693  3 O 1.38-1.39
B6 0.1670 0.4923 0.1637  3 O 1.38
B7 0.2032 0.2771 0.9814  3 O 1.37-1.38
O1 0.0000 0.5780 0.5000  1 B 1.38
O2 0.0000 0.8376 0.5000  1 B 1.38
O3 0.0080 0.2271 0.3029  1 B 1.38
O4 0.0244 0.5055 0.3255  1 B 1.37
O5 0.0317 0.8679 0.1224  1 B 1.38
O6 0.0382 0.5677 0.1180  1 B 1.38
O7 0.0693 0.7273 0.7408  1 B 1.37
O8 0.0976 0.2016 0.9259  1 B 1.37
O9 0.1248 0.3551 0.5493  1 B 1.38
O10 0.1387 0.0049 0.3417  1 B 1.37
O11 0.1389 0.0543 0.5429  1 B 1.37
O12 0.1596 0.7256 0.3635  1 B 1.38
O13 0.1648 0.3440 0.1677  1 B 1.38
O14 0.1687 0.0838 0.1660  1 B 1.39
O15 0.1742 0.6997 0.9698  1 B 1.38
O16 0.1933 0.4220 0.9937  1 B 1.37
O17 0.1979 0.0597 0.7899  1 B 1.38
O18 0.2061 0.3593 0.7845  1 B 1.38
O19 0.2347 0.2271 0.4077  1 B 1.37

Computed properties:
Final energy   -7.93 eV/atom
Total moment   0.01 μB/cell

***

First-principles (PBE-GGA) data for a relaxed structure of BaTcOs, as listed in the Open Quantum Materials Database.

Cell lengths 6.5389, 6.5389, 6.5389 Å; angles 90.00, 90.00, 90.00 degrees
With the nearest neighbours (Å) after each atom.
Space group F-43m (No. 216)
Inequivalent atoms, fractional coordinates:
Ba1 0.0000 0.0000 0.0000  4 Tc 2.83
Tc1 0.2500 0.2500 0.2500  4 Ba 2.83, 4 Os 2.83
Os1 0.0000 0.0000 0.5000  4 Tc 2.83

Computed properties:
Final energy   -6.39 eV/atom
Total moment   0.05 μB/cell

***

First-principles (PBE-GGA) data for a relaxed structure of Rb2CuAgI6, as listed in the Open Quantum Materials Database.

Cell lengths 8.2190, 8.2190, 19.1255 Å; angles 90.00, 90.00, 120.00 degrees
With the nearest neighbours (Å) after each atom.
Space group R-3 (No. 148, hexagonal axes)
Inequivalent atoms, fractional coordinates:
Rb1 0.0000 0.0000 0.2477  9 I 3.74-3.99
Cu1 0.0000 0.0000 0.5000  6 I 2.81
Ag1 0.0000 0.0000 0.0000  6 I 2.96
I1 0.0111 0.5511 0.2491  1 Cu 2.81, 1 Ag 2.96

Computed properties:
Final energy   -2.41 eV/atom

***

First-principles (PBE-GGA) data for a relaxed structure of SrLiAgGeS4, as listed in the Open Quantum Materials Database.

Cell lengths 6.6967, 6.6967, 7.8834 Å; angles 90.00, 90.00, 90.00 degrees
With the nearest neighbours (Å) after each atom.
Space group I-4 (No. 82)
Inequivalent atoms, fractional coordinates:
Sr1 0.0000 0.0000 0.0000  8 S 3.16-3.24
Li1 0.0000 0.5000 0.2500  4 S 2.45
Ag1 0.0000 0.5000 0.7500  4 S 2.60
Ge1 0.0000 0.0000 0.5000  4 S 2.24
S1 0.1860 0.7976 0.3388  1 Ge 2.24, 1 Li 2.45

Computed properties:
Final energy   -4.44 eV/atom

***

First-principles (PBE-GGA) data for a relaxed structure of DyEr2Se3, as listed in the Open Quantum Materials Database.

Cell lengths 4.0349, 4.0349, 9.9068 Å; angles 90.00, 90.00, 120.00 degrees
With the nearest neighbours (Å) after each atom.
Space group P-3m1 (No. 164)
Inequivalent atoms, fractional coordinates:
Dy1 0.0000 0.0000 0.0000  6 Se 2.87
Er1 0.3333 0.6667 0.6662  6 Se 2.84-2.85
Se1 0.0000 0.0000 0.5000  6 Er 2.85
Se2 0.3333 0.6667 0.1699  3 Er 2.84, 3 Dy 2.87

Computed properties:
Final energy   -5.74 eV/atom
Total moment   0.00 μB/cell

***

First-principles (PBE-GGA) data for a relaxed structure of HfZnFeAs, as listed in the Open Quantum Materials Database.

Cell lengths 6.2569, 6.2569, 6.2569 Å; angles 90.00, 90.00, 90.00 degrees
With the nearest neighbours (Å) after each atom.
Space group F-43m (No. 216)
Inequivalent atoms, fractional coordinates:
Hf1 0.0000 0.0000 0.0000  4 Fe 2.71, 4 Zn 2.71
Zn1 0.2500 0.2500 0.2500  4 Hf 2.71, 4 As 2.71
Fe1 0.2500 0.2500 0.7500  4 As 2.71, 4 Hf 2.71
As1 0.0000 0.0000 0.5000  4 Zn 2.71, 4 Fe 2.71

Computed properties:
Final energy   -6.02 eV/atom
Total moment   0.28 μB/cell

***

First-principles (PBE-GGA) data for a relaxed structure of SrPuCuSe3, as listed in the Open Quantum Materials Database.

Cell lengths 4.1556, 13.5313, 10.7901 Å; angles 90.00, 90.00, 90.00 degrees
With the nearest neighbours (Å) after each atom.
Space group Cmcm (No. 63)
Inequivalent atoms, fractional coordinates:
Sr1 0.0000 0.2494 0.2500  6 Se 3.14-3.20
Pu1 0.0000 0.0000 0.0000  6 Se 2.89-2.91
Cu1 0.0000 0.4717 0.7500  4 Se 2.46-2.52
Se1 0.0000 0.0767 0.7500  2 Cu 2.52
Se2 0.0000 0.3599 0.5705  1 Cu 2.46

Computed properties:
Final energy   -6.39 eV/atom
Total moment   20.03 μB/cell

***

First-principles (PBE-GGA) data for a relaxed structure of Ta3CuP5, as listed in the Open Quantum Materials Database.

Cell lengths 5.7551, 5.7551, 5.8102 Å; angles 90.00, 90.00, 120.00 degrees
With the nearest neighbours (Å) after each atom.
Space group P6/mmm (No. 191)
Inequivalent atoms, fractional coordinates:
Ta1 0.0000 0.5000 0.0000  4 P 2.48
Cu1 0.0000 0.0000 0.5000  2 P 2.91
P1 0.0000 0.0000 0.0000  6 Ta 2.88, 2 Cu 2.91
P2 0.3333 0.6667 0.3177  1 P 2.12

Computed properties:
Final energy   -7.35 eV/atom
Total moment   0.00 μB/cell

***

First-principles (PBE-GGA) data for a relaxed structure of Nb2Fe2BiAs, as listed in the Open Quantum Materials Database.

Cell lengths 10.2086, 4.1475, 10.2923 Å; angles 90.00, 109.65, 90.00 degrees
With the nearest neighbours (Å) after each atom.
Space group Pm (No. 6)
Inequivalent atoms, fractional coordinates:
Nb1 0.0000 0.0000 0.0000  4 Fe 2.51-2.67
Nb2 0.1166 0.5000 0.4044  3 Fe 2.49-2.51
Nb3 0.2382 0.0000 0.7564  4 Fe 2.43-2.51
Nb4 0.3676 0.5000 0.1371  4 Fe 2.46-2.66
Nb5 0.4881 0.0000 0.5120  4 Fe 2.48-2.60
Nb6 0.6101 0.5000 0.8786  4 Fe 2.56-2.58, 1 As 2.87
Nb7 0.7432 0.0000 0.2778  3 Fe 2.45-2.55
Nb8 0.8747 0.5000 0.6337  3 Fe 2.38-2.54
Fe1 0.0002 0.0000 0.7561  4 Nb 2.43-2.54, 3 As 2.46-2.53, 1 Bi 2.63
Fe2 0.1216 0.5000 0.1202  1 As 2.46, 3 Nb 2.46-2.52, 3 Bi 2.59-2.64
Fe3 0.2356 0.0000 0.5194  4 Nb 2.43-2.60, 3 As 2.47-2.54, 1 Bi 2.63
Fe4 0.3582 0.5000 0.8759  2 As 2.44-2.48, 4 Nb 2.51-2.66, 2 Bi 2.62
Fe5 0.5018 0.0000 0.2735  4 Nb 2.45-2.62, 2 As 2.48, 2 Bi 2.64-2.66
Fe6 0.6039 0.5000 0.6257  2 As 2.45-2.48, 4 Nb 2.48-2.74, 2 Bi 2.62
Fe7 0.7410 0.0000 0.0073  4 Bi 2.56-2.59, 4 Nb 2.58-2.78
Fe8 0.8701 0.5000 0.4014  4 Nb 2.38-2.55, 3 As 2.50-2.57
Bi1 0.2381 0.0000 0.2644  4 Fe 2.59-2.66
Bi2 0.4925 0.0000 0.0138  4 Fe 2.56-2.64
Bi3 0.7429 0.0000 0.7570  4 Fe 2.58-2.63
Bi4 0.8705 0.5000 0.1392  4 Fe 2.59-2.70
As1 0.1207 0.5000 0.8811  4 Fe 2.44-2.53
As2 0.3652 0.5000 0.6375  4 Fe 2.48-2.54
As3 0.6148 0.5000 0.3916  4 Fe 2.45-2.57
As4 0.9918 0.0000 0.5146  4 Fe 2.46-2.50

Computed properties:
Final energy   -7.78 eV/atom
Total moment   0.00 μB/cell

***

First-principles (PBE-GGA) data for a relaxed structure of CsThCu, as listed in the Open Quantum Materials Database.

Cell lengths 7.1357, 7.1357, 7.1357 Å; angles 90.00, 90.00, 90.00 degrees
With the nearest neighbours (Å) after each atom.
Space group F-43m (No. 216)
Inequivalent atoms, fractional coordinates:
Cs1 0.0000 0.0000 0.0000  4 Th 3.09, 4 Cu 3.09
Th1 0.2500 0.2500 0.2500  4 Cs 3.09
Cu1 0.2500 0.2500 0.7500  4 Cs 3.09

Computed properties:
Final energy   -2.51 eV/atom
Total moment   0.01 μB/cell

***

First-principles (PBE-GGA) data for a relaxed structure of YIn2HgBr6, as listed in the Open Quantum Materials Database.

Cell lengths 11.4962, 11.4962, 11.4962 Å; angles 90.00, 90.00, 90.00 degrees
With the nearest neighbours (Å) after each atom.
Space group Fm-3m (No. 225)
Inequivalent atoms, fractional coordinates:
Y1 0.0000 0.0000 0.0000  6 Br 2.77
In1 0.2500 0.2500 0.2500  12 Br 4.07
Hg1 0.0000 0.0000 0.5000  6 Br 2.97
Br1 0.0000 0.0000 0.2413  1 Y 2.77, 1 Hg 2.97

Computed properties:
Final energy   -3.15 eV/atom
Total moment   0.05 μB/cell

***

First-principles (PBE-GGA) data for a relaxed structure of Lu4CdPN2, as listed in the Open Quantum Materials Database.

Cell lengths 3.4967, 3.4967, 13.8477 Å; angles 90.00, 90.00, 120.00 degrees
With the nearest neighbours (Å) after each atom.
Space group P-6m2 (No. 187)
Inequivalent atoms, fractional coordinates:
Lu1 0.0000 0.0000 0.1298  3 N 2.43, 3 P 2.70
Lu2 0.6667 0.3333 0.3192  3 N 2.39
Cd1 0.0000 0.0000 0.5000  6 Lu 3.22, 6 Cd 3.50
P1 0.6667 0.3333 0.0000  6 Lu 2.70
N1 0.3333 0.6667 0.2269  6 Lu 2.39-2.43

Computed properties:
Final energy   -6.35 eV/atom
Total moment   0.00 μB/cell

***

First-principles (PBE-GGA) data for a relaxed structure of LaSiGePt, as listed in the Open Quantum Materials Database.

Cell lengths 4.3536, 17.2573, 4.3725 Å; angles 90.00, 90.00, 90.00 degrees
With the nearest neighbours (Å) after each atom.
Space group Cmcm (No. 63)
Inequivalent atoms, fractional coordinates:
La1 0.0000 0.1089 0.2500  4 Si 3.26-3.27, 6 Ge 3.32-3.35, 5 Pt 3.35-3.56
Si1 0.0000 0.2502 0.7500  4 Pt 2.45-2.46
Ge1 0.0000 0.4616 0.2500  1 Pt 2.52, 2 Ge 2.56
Pt1 0.0000 0.3153 0.2500  4 Si 2.45-2.46, 1 Ge 2.52

Computed properties:
Final energy   -6.29 eV/atom
Total moment   0.02 μB/cell

***

First-principles (PBE-GGA) data for a relaxed structure of ScCuSnPd, as listed in the Open Quantum Materials Database.

Cell lengths 6.5619, 6.5619, 6.5619 Å; angles 90.00, 90.00, 90.00 degrees
With the nearest neighbours (Å) after each atom.
Space group F-43m (No. 216)
Inequivalent atoms, fractional coordinates:
Sc1 0.0000 0.0000 0.0000  4 Sn 2.84, 4 Pd 2.84
Cu1 0.0000 0.0000 0.5000  4 Sn 2.84, 4 Pd 2.84
Sn1 0.2500 0.2500 0.7500  4 Sc 2.84, 4 Cu 2.84
Pd1 0.2500 0.2500 0.2500  4 Sc 2.84, 4 Cu 2.84

Computed properties:
Final energy   -5.25 eV/atom
Total moment   0.00 μB/cell

***

First-principles (PBE-GGA) data for a relaxed structure of ZnCu17, as listed in the Open Quantum Materials Database.

Cell lengths 5.0955, 5.0955, 31.5563 Å; angles 90.00, 90.00, 120.00 degrees
With the nearest neighbours (Å) after each atom.
Space group P-3m1 (No. 164)
Inequivalent atoms, fractional coordinates:
Zn1 0.3333 0.6667 0.2676  9 Cu 2.55-2.66
Cu1 0.0000 0.0000 0.0000  12 Cu 2.54-2.55
Cu2 0.0000 0.0000 0.1976  12 Cu 2.55
Cu3 0.0000 0.5000 0.0000  12 Cu 2.55
Cu4 0.0003 0.5001 0.1975  11 Cu 2.54-2.56, 1 Zn 2.66
Cu5 0.1666 0.3333 0.1317  12 Cu 2.54-2.55
Cu6 0.1667 0.3334 0.7363  7 Cu 2.55, 2 Zn 2.55
Cu7 0.1665 0.3330 0.9342  12 Cu 2.54-2.55
Cu8 0.3333 0.6667 0.0659  12 Cu 2.55
Cu9 0.3333 0.6667 0.8688  12 Cu 2.54-2.56

Computed properties:
Final energy   -3.50 eV/atom

***

First-principles (PBE-GGA) data for a relaxed structure of LiGe5Ir3, as listed in the Open Quantum Materials Database.

Cell lengths 5.3914, 5.3914, 6.7835 Å; angles 90.00, 90.00, 120.00 degrees
With the nearest neighbours (Å) after each atom.
Space group P6/mmm (No. 191)
Inequivalent atoms, fractional coordinates:
Li1 0.0000 0.0000 0.0000  14 Ge 3.39
Ge1 0.0000 0.0000 0.5000  6 Ir 2.70
Ge2 0.3333 0.6667 0.1983  3 Ir 2.57, 1 Ge 2.69
Ir1 0.0000 0.5000 0.5000  6 Ge 2.57-2.70, 4 Ir 2.70

Computed properties:
Final energy   -5.69 eV/atom
Total moment   0.01 μB/cell

***

First-principles (PBE-GGA) data for a relaxed structure of Ta5Ni24, as listed in the Open Quantum Materials Database.

Cell lengths 8.8155, 8.8155, 8.8155 Å; angles 90.00, 90.00, 90.00 degrees
With the nearest neighbours (Å) after each atom.
Space group I-43m (No. 217)
Inequivalent atoms, fractional coordinates:
Ta1 0.0000 0.0000 0.0000  12 Ni 2.72, 4 Ta 2.95
Ta2 0.1932 0.1932 0.1932  6 Ni 2.45-2.69
Ni1 0.0406 0.3636 0.6364  7 Ni 2.36-2.59, 1 Ta 2.45
Ni2 0.0917 0.0917 0.7194  6 Ni 2.29-2.55

Computed properties:
Final energy   -6.82 eV/atom
Total moment   1.57 μB/cell